Entry 1:
Compound: PrEr4Th
Source: the Alexandria database
Functional: GGA-PBE
Structure: relaxed

Computed properties:
Energy relative to the lowest polymorph listed for this composition ... 29.3 kJ/mol of atoms
Spin magnetization ... 0.637 μB/atom
Energy relative to the elements ... 0.3276 eV per atom

Geometry as CIF:
```
data_PrEr4Th
_chemical_formula_sum 'Pr1 Er4 Th1'
_cell_length_a 6.566
_cell_length_b 6.566
_cell_length_c 6.566
_cell_angle_alpha 60.00
_cell_angle_beta 60.00
_cell_angle_gamma 60.00
_space_group_name_H-M_alt 'P 1'
_space_group_IT_number 1
loop_
_space_group_symop_operation_xyz
'x,y,z'
loop_
_atom_site_label
_atom_site_fract_x
_atom_site_fract_y
_atom_site_fract_z
Pr1 0.250 0.250 0.250
Er1 0.626 0.123 0.626
Er2 0.626 0.626 0.123
Er3 0.123 0.626 0.626
Th1 0.000 0.000 0.000
Er4 0.626 0.626 0.626
```


Entry 2:
Compound: Er2PaRu2
Source: the Alexandria database
Functional: GGA-PBE
Structure: relaxed

Computed properties:
Energy relative to the lowest polymorph listed for this composition ... 3.7 kJ/mol of atoms
Spin magnetization ... 0.000 μB/atom
Energy relative to the elements ... -0.4689 eV per atom

Geometry as CIF:
```
data_Er2PaRu2
_chemical_formula_sum 'Er8 Pa4 Ru8'
_cell_length_a 7.026
_cell_length_b 6.611
_cell_length_c 10.132
_cell_angle_alpha 90.00
_cell_angle_beta 98.06
_cell_angle_gamma 90.00
_space_group_name_H-M_alt 'P 1'
_space_group_IT_number 1
loop_
_space_group_symop_operation_xyz
'x,y,z'
loop_
_atom_site_label
_atom_site_fract_x
_atom_site_fract_y
_atom_site_fract_z
Er1 0.568 0.758 0.981
Ru1 0.719 0.935 0.487
Ru2 0.776 0.541 0.805
Er2 0.068 0.742 0.981
Ru3 0.781 0.435 0.513
Pa1 0.999 0.831 0.638
Er3 0.432 0.242 0.019
Er4 0.882 0.656 0.282
Ru4 0.224 0.459 0.195
Ru5 0.724 0.041 0.195
Er5 0.382 0.844 0.282
Ru6 0.219 0.565 0.487
Pa2 0.001 0.169 0.362
Ru7 0.281 0.065 0.513
Er6 0.118 0.344 0.718
Er7 0.618 0.156 0.718
Er8 0.932 0.258 0.019
Pa3 0.499 0.669 0.638
Pa4 0.501 0.331 0.362
Ru8 0.276 0.959 0.805
```


Entry 3:
Compound: Nd3Cu3Ni2
Source: the Alexandria database
Functional: GGA-PBE
Structure: relaxed

Computed properties:
Spin magnetization ... 0.000 μB/atom
Energy relative to the elements ... -0.2549 eV per atom

Geometry as CIF:
```
data_Nd3Cu3Ni2
_chemical_formula_sum 'Nd6 Cu6 Ni4'
_cell_length_a 4.058
_cell_length_b 5.624
_cell_length_c 15.384
_cell_angle_alpha 90.00
_cell_angle_beta 90.00
_cell_angle_gamma 111.14
_space_group_name_H-M_alt 'P 1'
_space_group_IT_number 1
loop_
_space_group_symop_operation_xyz
'x,y,z'
loop_
_atom_site_label
_atom_site_fract_x
_atom_site_fract_y
_atom_site_fract_z
Nd1 0.872 0.745 0.410
Cu1 0.412 0.824 0.553
Cu2 0.310 0.621 0.250
Nd2 0.128 0.255 0.590
Cu3 0.588 0.176 0.053
Cu4 0.412 0.824 0.947
Cu5 0.690 0.379 0.750
Nd3 0.400 0.801 0.750
Nd4 0.128 0.255 0.910
Nd5 0.600 0.199 0.250
Ni1 0.174 0.348 0.117
Ni2 0.174 0.348 0.383
Ni3 0.826 0.652 0.617
Ni4 0.826 0.652 0.883
Cu6 0.588 0.176 0.447
Nd6 0.872 0.745 0.090
```


Entry 4:
Compound: TbYGa
Source: the Alexandria database
Functional: GGA-PBE
Structure: relaxed

Computed properties:
Energy relative to the lowest polymorph listed for this composition ... 19.1 kJ/mol of atoms
Spin magnetization ... 0.000 μB/atom
Energy relative to the elements ... -0.2129 eV per atom

Geometry as CIF:
```
data_TbYGa
_chemical_formula_sum 'Tb2 Y2 Ga2'
_cell_length_a 4.990
_cell_length_b 3.475
_cell_length_c 10.013
_cell_angle_alpha 90.00
_cell_angle_beta 90.00
_cell_angle_gamma 90.00
_space_group_name_H-M_alt 'P 1'
_space_group_IT_number 1
loop_
_space_group_symop_operation_xyz
'x,y,z'
loop_
_atom_site_label
_atom_site_fract_x
_atom_site_fract_y
_atom_site_fract_z
Tb1 0.000 0.000 0.500
Ga1 0.000 0.500 0.250
Y1 0.500 0.001 0.250
Y2 0.500 0.999 0.750
Ga2 0.000 0.500 0.750
Tb2 0.000 0.000 0.000
```


Entry 5:
Compound: AlV2W2
Source: the Alexandria database
Functional: GGA-PBE
Structure: relaxed

Computed properties:
Spin magnetization ... 0.000 μB/atom
Energy relative to the elements ... -0.0879 eV per atom

Geometry as CIF:
```
data_AlV2W2
_chemical_formula_sum 'Al2 V4 W4'
_cell_length_a 4.361
_cell_length_b 5.353
_cell_length_c 6.992
_cell_angle_alpha 104.54
_cell_angle_beta 108.17
_cell_angle_gamma 90.00
_space_group_name_H-M_alt 'P 1'
_space_group_IT_number 1
loop_
_space_group_symop_operation_xyz
'x,y,z'
loop_
_atom_site_label
_atom_site_fract_x
_atom_site_fract_y
_atom_site_fract_z
V1 0.400 0.361 0.799
W1 0.199 0.549 0.397
V2 0.600 0.139 0.201
Al1 0.000 0.250 0.000
V3 0.400 0.861 0.799
W2 0.199 0.049 0.397
Al2 0.000 0.750 0.000
W3 0.801 0.951 0.603
V4 0.600 0.639 0.201
W4 0.801 0.451 0.603
```


Entry 6:
Compound: HoZr5
Source: the Alexandria database
Functional: GGA-PBE
Structure: relaxed

Computed properties:
Spin magnetization ... 0.000 μB/atom
Energy relative to the elements ... 0.0871 eV per atom

Geometry as CIF:
```
data_HoZr5
_chemical_formula_sum 'Ho1 Zr5'
_cell_length_a 3.811
_cell_length_b 6.232
_cell_length_c 7.747
_cell_angle_alpha 56.95
_cell_angle_beta 75.76
_cell_angle_gamma 72.20
_space_group_name_H-M_alt 'P 1'
_space_group_IT_number 1
loop_
_space_group_symop_operation_xyz
'x,y,z'
loop_
_atom_site_label
_atom_site_fract_x
_atom_site_fract_y
_atom_site_fract_z
Zr1 0.988 0.952 0.072
Ho1 0.306 0.500 0.889
Zr2 0.624 0.048 0.705
Zr3 0.970 0.536 0.524
Zr4 0.641 0.464 0.254
Zr5 0.306 0.000 0.389
```


Entry 7:
Compound: Ta2CoTe
Source: the Alexandria database
Functional: GGA-PBE
Structure: relaxed

Computed properties:
Formation energy without anion corrections ... 0.103 eV per atom
Spin magnetization ... 0.000 μB/atom

Geometry as CIF:
```
data_Ta2CoTe
_chemical_formula_sum 'Ta2 Co1 Te1'
_cell_length_a 3.636
_cell_length_b 3.418
_cell_length_c 5.914
_cell_angle_alpha 73.26
_cell_angle_beta 90.00
_cell_angle_gamma 90.00
_space_group_name_H-M_alt 'P 1'
_space_group_IT_number 1
loop_
_space_group_symop_operation_xyz
'x,y,z'
loop_
_atom_site_label
_atom_site_fract_x
_atom_site_fract_y
_atom_site_fract_z
Co1 0.500 0.539 0.793
Ta1 0.500 0.314 0.248
Te1 0.000 0.692 0.494
Ta2 0.000 0.955 0.965
```


Entry 8:
Compound: Ca9H14O2
Source: the Alexandria database
Functional: GGA-PBE
Structure: relaxed

Computed properties:
Spin magnetization ... 0.000 μB/atom
VASP energy ... -98.0 eV/cell

Geometry as CIF:
```
data_Ca9H14O2
_chemical_formula_sum 'Ca9 H14 O2'
_cell_length_a 6.726
_cell_length_b 6.726
_cell_length_c 9.431
_cell_angle_alpha 90.00
_cell_angle_beta 90.00
_cell_angle_gamma 120.00
_space_group_name_H-M_alt 'P 1'
_space_group_IT_number 1
loop_
_space_group_symop_operation_xyz
'x,y,z'
loop_
_atom_site_label
_atom_site_fract_x
_atom_site_fract_y
_atom_site_fract_z
O1 0.333 0.667 0.257
H1 0.686 0.646 0.091
H2 0.371 0.316 0.412
Ca1 0.000 0.000 0.000
H3 0.316 0.945 0.588
Ca2 0.697 0.044 0.662
Ca3 0.956 0.653 0.662
H4 0.354 0.040 0.091
H5 0.960 0.314 0.091
H6 0.000 0.000 0.254
H7 0.684 0.055 0.412
H8 0.629 0.684 0.588
H9 0.646 0.960 0.909
Ca4 0.347 0.303 0.662
Ca5 0.667 0.333 0.974
Ca6 0.303 0.956 0.338
Ca7 0.044 0.347 0.338
H10 0.000 0.000 0.746
H11 0.055 0.371 0.588
Ca8 0.333 0.667 0.026
H12 0.945 0.629 0.412
O2 0.667 0.333 0.743
Ca9 0.653 0.697 0.338
H13 0.040 0.686 0.909
H14 0.314 0.354 0.909
```


Entry 9:
Compound: ReSi4P
Source: the Alexandria database
Functional: GGA-PBE
Structure: relaxed

Computed properties:
Formation energy without anion corrections ... 0.794 eV per atom
Spin magnetization ... 0.000 μB/atom

Geometry as CIF:
```
data_ReSi4P
_chemical_formula_sum 'Re1 Si4 P1'
_cell_length_a 4.913
_cell_length_b 4.913
_cell_length_c 4.913
_cell_angle_alpha 60.00
_cell_angle_beta 60.00
_cell_angle_gamma 60.00
_space_group_name_H-M_alt 'P 1'
_space_group_IT_number 1
loop_
_space_group_symop_operation_xyz
'x,y,z'
loop_
_atom_site_label
_atom_site_fract_x
_atom_site_fract_y
_atom_site_fract_z
P1 0.750 0.750 0.750
Re1 0.000 0.000 0.000
Si1 0.376 0.376 0.376
Si2 0.376 0.871 0.376
Si3 0.871 0.376 0.376
Si4 0.376 0.376 0.871
```


Entry 10:
Compound: LiEuSb
Source: the Alexandria database
Functional: GGA-PBE
Structure: relaxed

Computed properties:
Formation energy without anion corrections ... -0.837 eV per atom
Spin magnetization ... 2.332 μB/atom

Geometry as CIF:
```
data_LiEuSb
_chemical_formula_sum 'Li1 Eu1 Sb1'
_cell_length_a 4.380
_cell_length_b 4.634
_cell_length_c 4.634
_cell_angle_alpha 120.00
_cell_angle_beta 90.00
_cell_angle_gamma 90.00
_space_group_name_H-M_alt 'P 1'
_space_group_IT_number 1
loop_
_space_group_symop_operation_xyz
'x,y,z'
loop_
_atom_site_label
_atom_site_fract_x
_atom_site_fract_y
_atom_site_fract_z
Sb1 0.166 0.000 0.000
Eu1 0.667 0.333 0.667
Li1 0.167 0.667 0.333
```